Here is an optimized crystal structure of LaEuSb from Alexandria. Energies are from GGA-PBE.

Output
Energy ... -7.0211 eV per atom

abc: 5.1425 5.1425 4.3553
angles: 90.00 90.00 120.00
Space group P3m1 (No. 156)
Asymmetric unit:
La  0.0000  0.0000  0.0000 [1 per cell]
Eu  0.6667  0.3333  0.5731 [1 per cell]
Sb  0.3333  0.6667  0.3286 [1 per cell]